[1]
# Ca2UNiS5 GGA-PBE optimized geometry
# * formation energy without anion corrections: -1453 meV/atom
# * symmetry: Cmc2_1 (36)
# * DOS at the Fermi energy: 9.90 states/eV/cell
data_Ca2UNiS5
_chemical_formula_sum 'Ca4 U2 Ni2 S10'
_space_group_name_H-M_alt 'P 1'
_space_group_IT_number 1
_cell_length_a 3.8383
_cell_length_b 8.5714
_cell_length_c 12.0164
_cell_angle_alpha 90.00
_cell_angle_beta 90.00
_cell_angle_gamma 102.94
loop_
_space_group_symop_operation_xyz
'x,y,z'
loop_
_atom_site_label
_atom_site_type_symbol
_atom_site_fract_x
_atom_site_fract_y
_atom_site_fract_z
Ca1 Ca 0.8940 0.7880 0.8465
Ca2 Ca 0.1088 0.2177 0.6897
Ca3 Ca 0.1060 0.2120 0.3465
Ca4 Ca 0.8912 0.7823 0.1897
U1 U 0.8040 0.6079 0.5232
U2 U 0.1960 0.3921 0.0232
Ni1 Ni 0.5694 0.1387 0.9232
Ni2 Ni 0.4306 0.8613 0.4232
S1 S 0.3533 0.7067 0.0185
S2 S 0.6986 0.3973 0.8713
S3 S 0.4993 0.9987 0.7641
S4 S 0.3000 0.6000 0.6760
S5 S 0.9573 0.9146 0.5114
S6 S 0.6467 0.2933 0.5185
S7 S 0.3014 0.6027 0.3713
S8 S 0.5007 0.0013 0.2641
S9 S 0.7000 0.4000 0.1760
S10 S 0.0427 0.0854 0.0114

---

[2]
# CaNiW2S GGA-PBE optimized geometry
# * formation energy without anion corrections: 3029 meV/atom
# * symmetry: P4/mmm (123)
# * DOS at the Fermi energy: 8.24 states/eV/cell
data_CaNiW2S
_chemical_formula_sum 'Ca1 Ni1 W2 S1'
_space_group_name_H-M_alt 'P 1'
_space_group_IT_number 1
_cell_length_a 4.8600
_cell_length_b 4.2356
_cell_length_c 4.8600
_cell_angle_alpha 90.00
_cell_angle_beta 90.00
_cell_angle_gamma 90.00
loop_
_space_group_symop_operation_xyz
'x,y,z'
loop_
_atom_site_label
_atom_site_type_symbol
_atom_site_fract_x
_atom_site_fract_y
_atom_site_fract_z
Ni1 Ni 0.0000 0.5000 0.0000
Ca1 Ca 0.0000 0.0000 0.0000
S1 S 0.5000 0.5000 0.5000
W1 W 0.0000 0.0000 0.5000
W2 W 0.5000 0.0000 0.0000

---

[3]
# CaZrNi2S GGA-PBE optimized geometry
# * formation energy without anion corrections: 832 meV/atom
# * symmetry: P4/mmm (123)
# * DOS at the Fermi energy: 4.71 states/eV/cell
data_CaZrNi2S
_chemical_formula_sum 'Ca1 Zr1 Ni2 S1'
_space_group_name_H-M_alt 'P 1'
_space_group_IT_number 1
_cell_length_a 4.4671
_cell_length_b 7.1111
_cell_length_c 4.4671
_cell_angle_alpha 90.00
_cell_angle_beta 90.00
_cell_angle_gamma 90.00
loop_
_space_group_symop_operation_xyz
'x,y,z'
loop_
_atom_site_label
_atom_site_type_symbol
_atom_site_fract_x
_atom_site_fract_y
_atom_site_fract_z
Ni1 Ni 0.0000 0.0000 0.5000
Ni2 Ni 0.5000 0.0000 0.0000
Ca1 Ca 0.0000 0.5000 0.0000
S1 S 0.5000 0.5000 0.5000
Zr1 Zr 0.0000 0.0000 0.0000

---

[4]
# CaNi2Sb GGA-PBE optimized geometry
# * formation energy without anion corrections: -104 meV/atom
# * symmetry: P4mm (99)
# * DOS at the Fermi energy: 2.60 states/eV/cell
data_CaNi2Sb
_chemical_formula_sum 'Ca1 Ni2 Sb1'
_space_group_name_H-M_alt 'P 1'
_space_group_IT_number 1
_cell_length_a 3.3280
_cell_length_b 3.3224
_cell_length_c 6.7339
_cell_angle_alpha 90.00
_cell_angle_beta 90.00
_cell_angle_gamma 90.00
loop_
_space_group_symop_operation_xyz
'x,y,z'
loop_
_atom_site_label
_atom_site_type_symbol
_atom_site_fract_x
_atom_site_fract_y
_atom_site_fract_z
Sb1 Sb 0.0000 0.0000 0.4239
Ca1 Ca 0.5000 0.5000 0.7909
Ni1 Ni 0.0000 0.0000 0.0541
Ni2 Ni 0.5000 0.5000 0.2311

---

[5]
# CaNi3Sb2 GGA-PBE optimized geometry
# * formation energy without anion corrections: -374 meV/atom
# * symmetry: C2/m (12)
# * DOS at the Fermi energy: 8.97 states/eV/cell
# * energy above the most stable polymorph in this dataset: 52 meV/atom
data_CaNi3Sb2
_chemical_formula_sum 'Ca2 Ni6 Sb4'
_space_group_name_H-M_alt 'P 1'
_space_group_IT_number 1
_cell_length_a 4.2074
_cell_length_b 8.3634
_cell_length_c 7.4713
_cell_angle_alpha 115.48
_cell_angle_beta 90.00
_cell_angle_gamma 104.57
loop_
_space_group_symop_operation_xyz
'x,y,z'
loop_
_atom_site_label
_atom_site_type_symbol
_atom_site_fract_x
_atom_site_fract_y
_atom_site_fract_z
Ca1 Ca 0.8519 0.7038 0.9229
Ca2 Ca 0.1481 0.2962 0.0771
Ni1 Ni 0.3052 0.6104 0.5369
Ni2 Ni 0.9736 0.9471 0.6229
Ni3 Ni 0.5870 0.1740 0.6331
Ni4 Ni 0.4130 0.8260 0.3669
Ni5 Ni 0.0264 0.0529 0.3771
Ni6 Ni 0.6948 0.3896 0.4631
Sb1 Sb 0.4739 0.9478 0.7850
Sb2 Sb 0.5261 0.0522 0.2150
Sb3 Sb 0.8122 0.6244 0.3242
Sb4 Sb 0.1878 0.3756 0.6758

---

[6]
# CaNi2Sb2 GGA-PBE optimized geometry
# * formation energy without anion corrections: -248 meV/atom
# * symmetry: P4/mbm (127)
# * DOS at the Fermi energy: 9.17 states/eV/cell
data_CaNi2Sb2
_chemical_formula_sum 'Ca2 Ni4 Sb4'
_space_group_name_H-M_alt 'P 1'
_space_group_IT_number 1
_cell_length_a 7.5379
_cell_length_b 7.5379
_cell_length_c 3.4076
_cell_angle_alpha 90.00
_cell_angle_beta 90.00
_cell_angle_gamma 90.00
loop_
_space_group_symop_operation_xyz
'x,y,z'
loop_
_atom_site_label
_atom_site_type_symbol
_atom_site_fract_x
_atom_site_fract_y
_atom_site_fract_z
Sb1 Sb 0.1660 0.6660 0.5000
Sb2 Sb 0.6660 0.8340 0.5000
Sb3 Sb 0.8340 0.3340 0.5000
Sb4 Sb 0.3340 0.1660 0.5000
Ca1 Ca 0.0000 0.0000 0.0000
Ca2 Ca 0.5000 0.5000 0.0000
Ni1 Ni 0.3833 0.8833 0.0000
Ni2 Ni 0.8833 0.6167 0.0000
Ni3 Ni 0.6167 0.1167 0.0000
Ni4 Ni 0.1167 0.3833 0.0000

---

[7]
# CaNi3Sb GGA-PBE optimized geometry
# * formation energy without anion corrections: 1206 meV/atom
# * symmetry: Pm-3m (221)
# * DOS at the Fermi energy: 3.36 states/eV/cell
# * energy above the most stable polymorph in this dataset: 1455 meV/atom
data_CaNi3Sb
_chemical_formula_sum 'Ca1 Ni3 Sb1'
_space_group_name_H-M_alt 'P 1'
_space_group_IT_number 1
_cell_length_a 4.5850
_cell_length_b 4.5850
_cell_length_c 4.5850
_cell_angle_alpha 90.00
_cell_angle_beta 90.00
_cell_angle_gamma 90.00
loop_
_space_group_symop_operation_xyz
'x,y,z'
loop_
_atom_site_label
_atom_site_type_symbol
_atom_site_fract_x
_atom_site_fract_y
_atom_site_fract_z
Sb1 Sb 0.5000 0.5000 0.5000
Ca1 Ca 0.0000 0.0000 0.0000
Ni1 Ni 0.0000 0.5000 0.0000
Ni2 Ni 0.0000 0.0000 0.5000
Ni3 Ni 0.5000 0.0000 0.0000

---

[8]
# CaNi3Sb GGA-PBE optimized geometry
# * formation energy without anion corrections: 219 meV/atom
# * symmetry: Pm-3m (221)
# * DOS at the Fermi energy: 7.35 states/eV/cell
# * energy above the most stable polymorph in this dataset: 468 meV/atom
data_CaNi3Sb
_chemical_formula_sum 'Ca1 Ni3 Sb1'
_space_group_name_H-M_alt 'P 1'
_space_group_IT_number 1
_cell_length_a 4.7067
_cell_length_b 4.7067
_cell_length_c 4.7067
_cell_angle_alpha 90.00
_cell_angle_beta 90.00
_cell_angle_gamma 90.00
loop_
_space_group_symop_operation_xyz
'x,y,z'
loop_
_atom_site_label
_atom_site_type_symbol
_atom_site_fract_x
_atom_site_fract_y
_atom_site_fract_z
Sb1 Sb 0.0000 0.0000 0.0000
Ca1 Ca 0.5000 0.5000 0.5000
Ni1 Ni 0.0000 0.5000 0.0000
Ni2 Ni 0.0000 0.0000 0.5000
Ni3 Ni 0.5000 0.0000 0.0000

---

[9]
# Ca4NiSb GGA-PBE optimized geometry
# * formation energy without anion corrections: 428 meV/atom
# * symmetry: F-43m (216)
# * DOS at the Fermi energy: 5.11 states/eV/cell
data_Ca4NiSb
_chemical_formula_sum 'Ca4 Ni1 Sb1'
_space_group_name_H-M_alt 'P 1'
_space_group_IT_number 1
_cell_length_a 6.4093
_cell_length_b 6.4093
_cell_length_c 6.4093
_cell_angle_alpha 60.00
_cell_angle_beta 60.00
_cell_angle_gamma 60.00
loop_
_space_group_symop_operation_xyz
'x,y,z'
loop_
_atom_site_label
_atom_site_type_symbol
_atom_site_fract_x
_atom_site_fract_y
_atom_site_fract_z
Ca1 Ca 0.8755 0.3748 0.3748
Ca2 Ca 0.3748 0.3748 0.8755
Ca3 Ca 0.3748 0.8755 0.3748
Ca4 Ca 0.3748 0.3748 0.3748
Ni1 Ni 0.7500 0.7500 0.7500
Sb1 Sb 0.0000 0.0000 0.0000

---

[10]
# CaNi2Sb GGA-PBE optimized geometry
# * formation energy without anion corrections: -147 meV/atom
# * symmetry: P4/mmm (123)
# * DOS at the Fermi energy: 2.71 states/eV/cell
data_CaNi2Sb
_chemical_formula_sum 'Ca1 Ni2 Sb1'
_space_group_name_H-M_alt 'P 1'
_space_group_IT_number 1
_cell_length_a 4.3914
_cell_length_b 4.3921
_cell_length_c 3.6100
_cell_angle_alpha 90.00
_cell_angle_beta 90.00
_cell_angle_gamma 90.00
loop_
_space_group_symop_operation_xyz
'x,y,z'
loop_
_atom_site_label
_atom_site_type_symbol
_atom_site_fract_x
_atom_site_fract_y
_atom_site_fract_z
Sb1 Sb 0.5000 0.0000 0.5000
Ca1 Ca 0.0000 0.5000 0.5000
Ni1 Ni 0.0000 0.0000 0.0000
Ni2 Ni 0.5000 0.5000 0.0000

---

[11]
# CaNi6Sb2 GGA-PBE optimized geometry
# * formation energy without anion corrections: -37 meV/atom
# * symmetry: C2/m (12)
# * DOS at the Fermi energy: 7.25 states/eV/cell
data_CaNi6Sb2
_chemical_formula_sum 'Ca1 Ni6 Sb2'
_space_group_name_H-M_alt 'P 1'
_space_group_IT_number 1
_cell_length_a 4.4288
_cell_length_b 5.8319
_cell_length_c 5.8319
_cell_angle_alpha 76.81
_cell_angle_beta 86.17
_cell_angle_gamma 86.17
loop_
_space_group_symop_operation_xyz
'x,y,z'
loop_
_atom_site_label
_atom_site_type_symbol
_atom_site_fract_x
_atom_site_fract_y
_atom_site_fract_z
Ca1 Ca 0.0000 0.0000 0.0000
Ni1 Ni 0.2562 0.0913 0.4336
Ni2 Ni 0.7438 0.9087 0.5664
Ni3 Ni 0.7438 0.5664 0.9087
Ni4 Ni 0.5000 0.7411 0.2589
Ni5 Ni 0.5000 0.2589 0.7411
Ni6 Ni 0.2562 0.4336 0.0913
Sb1 Sb 0.2459 0.6633 0.6633
Sb2 Sb 0.7541 0.3367 0.3367

---

[12]
# CaNi12Sb6 GGA-PBE optimized geometry
# * formation energy without anion corrections: -48 meV/atom
# * symmetry: R-3m (166)
# * DOS at the Fermi energy: 10.45 states/eV/cell
data_CaNi12Sb6
_chemical_formula_sum 'Ca1 Ni12 Sb6'
_space_group_name_H-M_alt 'P 1'
_space_group_IT_number 1
_cell_length_a 6.9538
_cell_length_b 6.9538
_cell_length_c 6.9538
_cell_angle_alpha 99.99
_cell_angle_beta 99.99
_cell_angle_gamma 99.99
loop_
_space_group_symop_operation_xyz
'x,y,z'
loop_
_atom_site_label
_atom_site_type_symbol
_atom_site_fract_x
_atom_site_fract_y
_atom_site_fract_z
Ca1 Ca 0.0000 0.0000 0.0000
Ni1 Ni 0.8827 0.1173 0.5000
Ni2 Ni 0.8946 0.6560 0.6560
Ni3 Ni 0.6560 0.6560 0.8946
Ni4 Ni 0.3440 0.1054 0.3440
Ni5 Ni 0.3440 0.3440 0.1054
Ni6 Ni 0.1054 0.3440 0.3440
Ni7 Ni 0.1173 0.5000 0.8827
Ni8 Ni 0.5000 0.8827 0.1173
Ni9 Ni 0.1173 0.8827 0.5000
Ni10 Ni 0.8827 0.5000 0.1173
Ni11 Ni 0.5000 0.1173 0.8827
Ni12 Ni 0.6560 0.8946 0.6560
Sb1 Sb 0.6710 0.2501 0.2501
Sb2 Sb 0.2501 0.2501 0.6710
Sb3 Sb 0.2501 0.6710 0.2501
Sb4 Sb 0.7499 0.7499 0.3290
Sb5 Sb 0.3290 0.7499 0.7499
Sb6 Sb 0.7499 0.3290 0.7499